An optimized crystal structure of NpTe2H2, computed with PBE.

Cell lengths 10.987, 4.017, 10.237 Å; angles 90.00, 115.97, 90.00 degrees
Space group C2/m (No. 12)
Symmetry-distinct sites (fractional):
Np 0.129 0.000 0.363 x4
Te 0.059 0.500 0.894 x4
Te 0.173 0.000 0.686 x4
H 0.010 0.000 0.881 x4
H 0.160 0.500 0.464 x4

Output
The total energy is -5.3652 eV/atom. The value obtained for the magnetic moment is 0.735 μB/atom.

An optimized crystal structure of VCd2Co, computed with PBE.

Cell lengths 6.444, 6.444, 6.444 Å; angles 90.00, 90.00, 90.00 degrees
Space group Fm-3m (No. 225)
Symmetry-distinct sites (fractional):
V 0.000 0.000 0.000 x4
Cd 0.250 0.250 0.250 x8
Co 0.000 0.000 0.500 x4

Output
As for the relative energy among the computed polymorphs: 0.0 meV per atom. The total energy is -4.0249 eV/atom. The value obtained for the magnetic moment is 0.878 μB/atom. Its formation energy is 47 kJ/mol of atoms.

An optimized crystal structure of MgZn4Ir, computed with PBE.

Cell lengths 4.411, 12.807, 7.194 Å; angles 90.00, 90.00, 90.00 degrees
Space group Cmcm (No. 63)
Symmetry-distinct sites (fractional):
Mg 0.000 0.130 0.250 x4
Zn 0.000 0.069 0.750 x4
Zn 0.000 0.258 0.580 x8
Zn 0.000 0.500 0.000 x4
Ir 0.000 0.336 0.250 x4

Output
As for the relative energy among the computed polymorphs: 114.7 meV per atom. The total energy is -2.6810 eV/atom. The value obtained for the magnetic moment is 0.000 μB/atom. Its formation energy is -9 kJ/mol of atoms.

An optimized crystal structure of HgAsBr2, computed with PBE.

Cell lengths 3.860, 6.886, 9.375 Å; angles 90.00, 90.00, 90.00 degrees
Space group Cmm2 (No. 35)
Symmetry-distinct sites (fractional):
Hg 0.000 0.000 0.000 x2
As 0.000 0.500 0.788 x2
Br 0.000 0.000 0.588 x2
Br 0.000 0.500 0.206 x2

Output
As for the relative energy among the computed polymorphs: 143.5 meV per atom. The total energy is -2.0562 eV/atom. The value obtained for the magnetic moment is 0.065 μB/atom. The formation energy (no corrections) comes out at 0.018 eV/atom.